CsFePt2: optimized geometry, PBE.

a = 4.898 Å, b = 4.898 Å, c = 4.898 Å
α = 60.00°, β = 60.00°, γ = 60.00°
Sites, in units of the cell vectors:
Cs  0.000  0.000  0.000
Fe  0.500  0.500  0.500
Pt  0.250  0.250  0.250
Pt  0.750  0.750  0.750

Calculated values
For the theoretical density, the calculation gives 11.6 Mg/m³. As for the symmetry: Fm-3m, No. 225. The value obtained for the density of states at the Fermi level is 7.2 states/eV/f.u. For the formation enthalpy at 0 K, the calculation gives 4.182 eV per formula unit.